[1]
First-principles (GGA-PBE) data for a geometry-optimized BaEr2CuSe4 structure, as listed in Alexandria.

Computed properties:
Electronic total energy = -5.209 eV per atom
E_form (uncorrected) = -1.5737 eV/atom

a = 4.161 Å, b = 13.847 Å, c = 14.169 Å
α = 90.00°, β = 90.00°, γ = 90.00°
Space group Cmcm (No. 63)
One atom of each set of equivalent atoms:
Ba  0.000  0.118  0.250 [4 per cell]
Er  0.000  0.373  0.059 [8 per cell]
Cu  0.000  0.153  0.750 [4 per cell]
Se  0.000  0.000  0.000 [4 per cell]
Se  0.000  0.265  0.613 [8 per cell]
Se  0.000  0.439  0.250 [4 per cell]


[2]
First-principles (GGA-PBE) data for a geometry-optimized LiAg4F5 structure, as listed in Alexandria.

Computed properties:
Electronic total energy = -3.615 eV per atom
E_form (uncorrected) = -1.3476 eV/atom

a = 7.483 Å, b = 7.483 Å, c = 4.892 Å
α = 90.00°, β = 90.00°, γ = 90.00°
Space group I4 (No. 79)
One atom of each set of equivalent atoms:
Li  0.000  0.000  0.000 [2 per cell]
Ag  0.052  0.679  0.462 [8 per cell]
F  0.000  0.000  0.406 [2 per cell]
F  0.135  0.765  0.950 [8 per cell]


[3]
First-principles (GGA-PBE) data for a geometry-optimized ErMnSi3Tc structure, as listed in Alexandria.

Computed properties:
Electronic total energy = -6.991 eV per atom
E_form (uncorrected) = -0.2630 eV/atom

a = 7.527 Å, b = 10.536 Å, c = 5.444 Å
α = 90.00°, β = 90.00°, γ = 90.00°
Space group Cmcm (No. 63)
One atom of each set of equivalent atoms:
Er  0.000  0.244  0.250 [4 per cell]
Mn  0.000  0.037  0.750 [4 per cell]
Si  0.000  0.238  0.750 [4 per cell]
Si  0.241  0.000  0.000 [8 per cell]
Tc  0.000  0.451  0.750 [4 per cell]


[4]
First-principles (GGA-PBE) data for a geometry-optimized Y3BiC structure, as listed in Alexandria.

Computed properties:
Electronic total energy = -6.868 eV per atom
Energy above the most stable polymorph in this dataset = 1.03 eV/f.u.
DFT formation energy = -368 meV/atom

a = 6.4362 Å, b = 6.4362 Å, c = 22.5900 Å
α = 90.00°, β = 90.00°, γ = 120.00°
Space group R-3 (No. 148, hexagonal axes)
One atom of each set of equivalent atoms:
Y  0.0067  0.6560  0.4405 [18 per cell]
Bi  0.0000  0.0000  0.3375 [6 per cell]
C  0.0000  0.0000  0.1618 [6 per cell]


[5]
First-principles (GGA-PBE) data for a geometry-optimized EuMgPt2 structure, as listed in Alexandria.

Computed properties:
Electronic total energy = -6.785 eV per atom
DFT formation energy = -797 meV/atom

a = 4.5268 Å, b = 4.5268 Å, c = 14.5058 Å
α = 90.00°, β = 90.00°, γ = 120.00°
Space group R-3m (No. 166, hexagonal axes)
One atom of each set of equivalent atoms:
Eu  0.0000  0.0000  0.0000 [3 per cell]
Mg  0.0000  0.0000  0.5000 [3 per cell]
Pt  0.0000  0.0000  0.2114 [6 per cell]


[6]
First-principles (GGA-PBE) data for a geometry-optimized ScAgSnSe4 structure, as listed in Alexandria.

Computed properties:
Electronic total energy = -4.648 eV per atom
E_form (uncorrected) = -0.7729 eV/atom

a = 7.955 Å, b = 8.125 Å, c = 11.396 Å
α = 90.00°, β = 90.00°, γ = 90.00°
Space group Imma (No. 74)
One atom of each set of equivalent atoms:
Sc  0.250  0.250  0.250 [4 per cell]
Ag  0.000  0.250  0.636 [4 per cell]
Sn  0.000  0.000  0.000 [4 per cell]
Se  0.000  0.021  0.241 [8 per cell]
Se  0.237  0.250  0.008 [8 per cell]